(1)
Compound: LuZrPO
Source: OQMD
Functional: PBE-GGA
Structure: optimized geometry

```
8
Lattice="-2.939 -2.213 1.519 2.520 -1.502 2.689 -1.914 6.120 5.212" Properties=species:S:1:pos:R:3 pbc="T T T"
Zr -0.355 -0.130 1.733
Lu 0.198 1.380 5.003
Lu -2.531 1.025 4.417
O 1.156 -1.680 2.397
P -0.846 -1.085 4.605
Zr -1.978 2.535 7.688
O -1.574 -2.035 1.811
P -1.487 3.490 4.815
```

**E**: -7.39 eV per atom

=====

(2)
Compound: Lu2Pa2O5
Source: OQMD
Functional: PBE-GGA
Structure: optimized geometry

```
9
Lattice="-4.176 -0.003 6.262 -0.149 -4.235 -0.101 3.523 -0.180 2.349" Properties=species:S:1:pos:R:3 pbc="T T T"
Pa 0.000 0.000 0.000
Pa -2.088 -0.002 3.131
Lu 0.751 -2.208 2.528
O 0.756 -0.091 2.682
O -3.245 -2.120 4.704
O -1.080 -2.118 1.457
Lu -1.553 -2.210 5.983
O -1.409 -0.092 5.929
O -0.401 -2.209 4.255
```

**Relative energy among the computed polymorphs**: 0 meV per atom

=====

(3)
Compound: Lu2Pa2O5
Source: OQMD
Functional: PBE-GGA
Structure: optimized geometry

```
9
Lattice="8.863 0.000 0.000 0.000 4.208 0.000 0.000 0.000 4.208" Properties=species:S:1:pos:R:3 pbc="T T T"
Pa 6.642 2.104 2.104
O 4.431 2.104 2.104
O 5.934 2.104 0.000
Lu 4.431 0.000 0.000
O 5.934 0.000 2.104
O 2.928 0.000 2.104
Pa 2.221 2.104 2.104
O 2.928 2.104 0.000
Lu 0.000 0.000 0.000
```

**Relative energy among the computed polymorphs**: 166 meV per atom

=====

(4)
Compound: LuPa2O4
Source: OQMD
Functional: PBE-GGA
Structure: optimized geometry

```
14
Lattice="-4.589 -0.901 5.088 -0.295 6.840 0.942 -1.206 -2.681 -6.254" Properties=species:S:1:pos:R:3 pbc="T T T"
O -1.119 5.230 -0.085
O -4.066 3.409 -0.678
O -3.887 -0.013 -1.121
Pa -2.662 -1.493 -2.665
Pa -2.207 3.267 0.933
O -1.553 0.444 -3.709
O -3.445 4.782 2.431
Lu 0.000 0.000 0.000
Pa -2.810 1.926 -2.194
Lu -4.118 -0.306 0.925
O -3.294 1.303 1.952
Pa -4.501 2.817 3.477
O -1.732 3.866 -3.266
O -0.969 1.751 -0.565
```

**E**: -8.51 eV per atom

=====

(5)
Compound: Lu2Pb2O5
Source: OQMD
Functional: PBE-GGA
Structure: optimized geometry

```
9
Lattice="-1.603 6.645 -1.651 -2.049 -1.415 -3.705 -3.833 -0.364 2.259" Properties=species:S:1:pos:R:3 pbc="T T T"
O -3.743 2.433 -1.548
O -3.163 4.985 -0.154
O -2.273 1.296 0.762
Lu 0.000 0.000 0.000
O -1.381 0.770 -2.220
Pb -3.269 0.470 -1.061
O -2.271 4.460 -3.136
Lu -0.802 3.322 -0.825
Pb -4.217 4.396 -2.036
```

**Relative energy among the computed polymorphs**: 1048 meV per atom

=====

(6)
Compound: Lu2Pb2O5
Source: OQMD
Functional: PBE-GGA
Structure: optimized geometry

```
9
Lattice="8.059 0.000 0.000 0.000 4.228 0.000 0.000 0.000 4.228" Properties=species:S:1:pos:R:3 pbc="T T T"
O 1.627 0.000 2.114
O 4.030 2.114 2.114
Lu 6.072 2.114 2.114
O 6.432 2.114 0.000
O 1.627 2.114 0.000
Lu 1.988 2.114 2.114
O 6.432 0.000 2.114
Pb 4.030 0.000 0.000
Pb 0.000 0.000 0.000
```

**Relative energy among the computed polymorphs**: 0 meV per atom

=====

(7)
Compound: LuPbO3
Source: OQMD
Functional: PBE-GGA
Structure: optimized geometry

```
20
Lattice="5.714 0.000 0.000 0.000 5.960 0.000 0.000 0.000 8.316" Properties=species:S:1:pos:R:3 pbc="T T T"
Lu 2.857 0.000 0.000
O 0.765 2.599 2.079
O 4.684 4.850 0.550
Lu 2.857 0.000 4.158
Pb 2.934 3.260 2.079
O 4.684 4.850 3.608
O 3.621 0.381 6.237
Lu 0.000 2.980 4.158
O 1.827 4.091 7.766
Pb 0.077 5.681 6.237
O 3.887 1.869 0.550
O 1.827 4.091 4.708
Pb 5.637 0.279 2.079
O 1.030 1.111 4.708
O 4.949 3.361 6.237
O 3.887 1.869 3.608
O 2.092 5.579 2.079
O 1.030 1.111 7.766
Lu 0.000 2.980 0.000
Pb 2.780 2.701 6.237
```

**E**: -6.84 eV per atom

=====

(8)
Compound: LuSbPb2O6
Source: OQMD
Functional: PBE-GGA
Structure: optimized geometry

```
10
Lattice="5.104 0.000 0.000 -1.247 5.052 0.000 -0.064 -0.383 5.701" Properties=species:S:1:pos:R:3 pbc="T T T"
O 1.094 1.375 1.454
O 0.378 3.720 0.208
Pb 3.241 1.253 3.106
Sb 1.928 2.526 0.000
O 3.415 0.950 5.492
Lu 0.000 0.000 0.000
O 2.700 3.295 4.247
Pb 0.553 3.417 2.595
O 0.999 1.028 4.254
O 2.794 3.642 1.446
```

**E**: -6.31 eV per atom

=====

(9)
Compound: LuPd2O4
Source: OQMD
Functional: PBE-GGA
Structure: optimized geometry

```
14
Lattice="-6.260 -0.304 -1.222 2.325 4.737 3.596 1.230 -0.153 -6.264" Properties=species:S:1:pos:R:3 pbc="T T T"
O 0.280 1.168 -1.719
O 1.306 3.534 0.171
Pd -4.127 0.823 -4.086
O -0.975 3.153 -3.524
O -2.844 0.852 -2.325
Pd -0.450 3.420 1.455
O 1.928 3.293 -2.956
Lu 0.000 0.000 0.000
Pd 0.165 3.343 -1.677
Pd -0.997 0.975 -3.475
O -1.597 3.393 -0.397
Lu -3.225 2.103 -0.685
O -2.274 0.781 -5.230
O 0.849 1.097 -4.624
```

**E**: -6.16 eV per atom

=====

(10)
Compound: Lu2PdO4
Source: OQMD
Functional: PBE-GGA
Structure: optimized geometry

```
28
Lattice="5.486 0.000 0.000 0.000 5.503 0.000 0.000 0.000 11.476" Properties=species:S:1:pos:R:3 pbc="T T T"
Lu 0.039 5.308 7.587
O 1.324 4.331 2.934
O 1.324 3.924 8.672
Lu 2.704 2.556 7.587
O 1.419 1.579 2.934
O 0.933 1.811 0.097
O 1.810 4.563 0.097
Lu 2.782 2.947 3.890
Pd 2.743 0.000 5.738
Pd 0.000 2.752 5.738
O 1.419 1.172 8.672
Lu 0.039 2.947 1.849
O 4.553 4.563 5.641
O 4.162 1.579 2.804
Lu 5.447 0.195 3.890
Lu 2.704 0.195 1.849
Pd 2.743 2.752 0.000
Lu 5.447 2.556 9.628
O 3.676 1.811 5.641
O 4.067 4.331 2.804
O 1.810 3.692 5.835
Lu 2.782 5.308 9.628
O 3.676 0.940 11.380
O 0.933 0.940 5.835
O 4.162 1.172 8.542
O 4.553 3.692 11.380
Pd 0.000 0.000 0.000
O 4.067 3.924 8.542
```

**E**: -7.58 eV per atom

=====

(11)
Compound: Pm2LuO4
Source: OQMD
Functional: PBE-GGA
Structure: optimized geometry

```
14
Lattice="-5.412 -3.665 2.059 -0.465 6.820 -0.482 0.426 -3.815 -5.677" Properties=species:S:1:pos:R:3 pbc="T T T"
O -0.861 3.227 -2.233
O -3.363 -0.514 -4.043
Pm -2.325 3.264 -0.299
O -3.127 -3.924 -3.806
Lu -4.185 -0.293 -0.116
O -0.651 1.323 -5.074
Pm -4.585 -3.886 -1.867
O -3.340 -2.013 -0.961
Pm -2.112 1.356 -3.138
Lu 0.000 0.000 0.000
O -3.573 1.390 -1.202
Pm -1.879 -2.054 -2.897
O -0.418 -2.095 -4.833
O -0.631 -0.183 -1.988
```

**E**: -7.99 eV per atom

=====

(12)
Compound: PrLuO3
Source: OQMD
Functional: PBE-GGA
Structure: optimized geometry

```
10
Lattice="4.036 2.640 -3.257 5.622 -1.157 0.965 2.964 -3.120 -3.919" Properties=species:S:1:pos:R:3 pbc="T T T"
O 5.464 1.125 -2.648
Pr 9.466 -1.228 -4.658
O 5.849 -1.617 -1.142
O 7.158 -2.762 -3.563
O 6.773 -0.020 -5.068
Lu 0.000 0.000 0.000
Pr 3.155 -0.409 -1.553
O 8.157 -0.083 -2.237
O 4.464 -1.554 -3.973
Lu 6.311 -0.818 -3.105
```

**E**: -8.26 eV per atom

=====

(13)
Compound: Pr2Lu2O5
Source: OQMD
Functional: PBE-GGA
Structure: optimized geometry

```
9
Lattice="-4.969 -4.872 -3.315 3.186 -2.629 -0.912 -0.554 -1.958 3.709" Properties=species:S:1:pos:R:3 pbc="T T T"
Pr 0.000 0.000 0.000
Pr -2.485 -2.436 -1.657
O -2.164 -4.999 -2.963
O -1.168 -4.730 -0.259
O 0.382 -2.502 -1.264
O -4.035 -4.663 -0.652
O -1.489 -2.167 1.046
Lu 0.161 -3.427 0.628
Lu -2.498 -6.033 -1.146
```

**Relative energy among the computed polymorphs**: 0 meV per atom

=====

(14)
Compound: Pr2Lu2O5
Source: OQMD
Functional: PBE-GGA
Structure: optimized geometry

```
9
Lattice="-2.345 -7.070 2.404 0.485 -1.548 -4.081 4.161 -1.073 0.902" Properties=species:S:1:pos:R:3 pbc="T T T"
O -1.413 -5.765 -0.343
O 0.426 -5.528 2.148
Pr 1.796 -2.901 -1.049
O -0.447 -2.854 -1.333
Lu 0.000 0.000 0.000
O 1.151 -4.846 -0.387
Pr 0.506 -6.791 0.274
Lu -1.172 -3.535 1.202
O 1.391 -2.616 1.158
```

**Relative energy among the computed polymorphs**: 885 meV per atom

=====

(15)
Compound: PrLuO3
Source: OQMD
Functional: PBE-GGA
Structure: optimized geometry

```
10
Lattice="-2.915 5.049 0.000 2.915 5.049 0.000 0.000 3.366 -5.106" Properties=species:S:1:pos:R:3 pbc="T T T"
O 1.221 4.924 -3.774
O 0.955 8.693 -3.774
Lu 0.000 10.098 -2.267
Pr 0.000 6.732 -0.514
Pr 0.000 6.732 -4.592
Lu 0.000 3.366 -2.839
O -0.955 4.771 -1.333
O 2.176 6.885 -1.333
O -2.176 6.579 -3.774
O -1.221 8.540 -1.333
```

**E**: -8.28 eV per atom

=====

(16)
Compound: PrLuO3
Source: OQMD
Functional: PBE-GGA
Structure: optimized geometry

```
20
Lattice="5.974 0.000 0.000 0.000 8.289 0.000 0.000 0.000 5.731" Properties=species:S:1:pos:R:3 pbc="T T T"
Pr 2.657 6.217 2.773
Pr 5.644 6.217 0.093
Lu 0.000 4.145 2.865
O 1.825 3.608 3.965
O 0.318 6.217 3.570
O 1.162 7.753 1.100
O 2.669 2.072 0.705
O 4.811 0.536 4.631
Lu 2.987 0.000 0.000
O 5.656 2.072 2.160
O 4.149 4.681 1.765
O 3.305 6.217 5.026
Pr 0.329 2.072 5.638
Pr 3.316 2.072 2.958
Lu 0.000 0.000 2.865
O 4.149 7.753 1.765
O 1.825 0.536 3.965
O 4.811 3.608 4.631
Lu 2.987 4.145 0.000
O 1.162 4.681 1.100
```

**E**: -8.33 eV per atom

=====

(17)
Compound: LuPt2O4
Source: OQMD
Functional: PBE-GGA
Structure: optimized geometry

```
14
Lattice="-1.062 4.309 4.699 -4.371 -0.816 -4.691 0.881 -4.613 4.441" Properties=species:S:1:pos:R:3 pbc="T T T"
O -3.065 -2.020 3.218
O -3.678 0.249 0.993
O -3.187 -1.739 -1.179
O -0.558 -3.632 3.214
Lu 0.000 0.000 0.000
O -2.575 -4.008 1.046
Pt -3.567 0.427 -1.201
O -0.964 -1.503 1.161
Lu -2.762 1.670 2.289
O -1.323 0.689 3.515
O -0.917 -1.440 5.568
Pt -1.472 0.683 5.714
Pt -3.126 -1.879 1.020
Pt -0.941 -1.471 3.365
```

**E**: -6.17 eV per atom

=====

(18)
Compound: Rb2LuO4
Source: OQMD
Functional: PBE-GGA
Structure: optimized geometry

```
14
Lattice="5.327 -5.329 0.000 -5.327 0.000 -5.329 5.327 5.329 0.000" Properties=species:S:1:pos:R:3 pbc="T T T"
O -1.465 1.464 -3.864
O 4.128 1.200 -4.129
Rb 6.659 -1.332 -1.332
O 1.199 1.200 -1.200
Lu 2.663 -2.664 -2.664
O 3.862 -1.464 -1.464
O 1.465 -1.464 -3.864
Lu 0.000 0.000 0.000
Rb -1.332 -1.332 -3.996
Rb 3.995 1.332 -1.332
Rb 1.332 1.332 -3.996
O 1.199 4.129 -4.129
O 4.128 4.129 -1.200
O 6.791 1.464 -1.464
```

**E**: -5.07 eV per atom

=====

(19)
Compound: RbLuO2
Source: OQMD
Functional: PBE-GGA
Structure: optimized geometry

```
16
Lattice="7.049 0.000 0.000 0.000 6.945 0.000 0.000 0.000 6.317" Properties=species:S:1:pos:R:3 pbc="T T T"
O 5.703 5.209 0.000
O 2.942 6.040 1.579
O 2.942 4.378 4.738
Rb 0.897 6.217 4.738
O 1.346 1.736 3.159
O 4.108 2.567 1.579
Lu 2.587 2.321 4.738
Lu 2.587 1.152 1.579
Lu 4.463 4.624 1.579
Rb 0.897 4.201 1.579
O 4.108 0.905 4.738
Rb 6.153 2.744 4.738
O 1.346 1.736 0.000
O 5.703 5.209 3.159
Lu 4.463 5.794 4.738
Rb 6.153 0.728 1.579
```

**E**: -6.49 eV per atom

=====

(20)
Compound: RbLuSO
Source: OQMD
Functional: PBE-GGA
Structure: optimized geometry

```
8
Lattice="-1.254 -3.708 -1.252 2.348 -1.764 2.875 -7.444 0.385 6.316" Properties=species:S:1:pos:R:3 pbc="T T T"
O -0.353 -3.222 -0.220
Lu -0.394 -1.334 0.972
S -5.221 -1.084 5.067
Rb -4.075 -3.030 2.938
O 1.448 -2.250 1.843
S -1.129 -4.004 2.872
Rb -2.274 -2.058 5.001
Lu -5.956 -3.754 6.967
```

**Relative energy among the computed polymorphs**: 420 meV per atom

=====

Number 1: ρ 7.9 g cm⁻³. Number 2: ρ 11.0 g cm⁻³. Number 3: ρ 9.4 g cm⁻³. Number 4: ρ 10.0 g cm⁻³. Number 5: ρ 10.0 g cm⁻³. Number 6: ρ 9.7 g cm⁻³. Number 7: ρ 10.1 g cm⁻³. Number 8: ρ 9.1 g cm⁻³. Number 9: ρ 8.1 g cm⁻³. Number 10: ρ 10.0 g cm⁻³. Number 11: ρ 7.7 g cm⁻³. Number 12: ρ 8.5 g cm⁻³. Number 13: ρ 8.6 g cm⁻³. Number 14: ρ 7.8 g cm⁻³. Number 15: ρ 8.0 g cm⁻³. Number 16: ρ 8.5 g cm⁻³. Number 17: ρ 11.0 g cm⁻³. Number 18: ρ 4.5 g cm⁻³. Number 19: ρ 6.3 g cm⁻³. Number 20: ρ 6.2 g cm⁻³.